No. 1
Density functional theory data (PBEsol) for a relaxed K2RhAu crystal.

abc: 4.124 4.124 5.828
angles: 110.72 110.72 90.00
Fractional positions:
K  0.750  0.250  0.500
K  0.250  0.750  0.500
Au  0.000  0.000  0.000
Rh  0.500  0.500  0.000

Values from the calculation:
**Formation energy from the elements**: 0.485 eV per atom
**Total moment**: 0.00 μB/f.u.
**SG**: No. 139
**E_tot**: -3.10 eV per atom

=====

No. 2
Density functional theory data (PBEsol) for a relaxed BaNaGaRh2 crystal.

abc: 4.775 4.775 5.096
angles: 90.00 90.00 90.00
Fractional positions:
Rh  0.500  0.000  0.000
Rh  0.000  0.500  0.000
Na  0.000  0.000  0.000
Ba  0.000  0.000  0.500
Ga  0.500  0.500  0.500

Values from the calculation:
**Formation energy from the elements**: 1.184 eV per atom
**Total moment**: 0.00 μB/f.u.
**SG**: No. 123
**E_tot**: -3.45 eV per atom

=====

Q: Which of these has the highest formation energy from the elements?
A: BaNaGaRh2

=====

Q: Which of these has the highest E_tot?
A: K2RhAu

=====

Q: What is the formula in the second record?
A: BaNaGaRh2

=====

Please write out number 2 again, unchanged.
Density functional theory data (PBEsol) for a relaxed BaNaGaRh2 crystal.

abc: 4.775 4.775 5.096
angles: 90.00 90.00 90.00
Fractional positions:
Rh  0.500  0.000  0.000
Rh  0.000  0.500  0.000
Na  0.000  0.000  0.000
Ba  0.000  0.000  0.500
Ga  0.500  0.500  0.500

Values from the calculation:
**Formation energy from the elements**: 1.184 eV per atom
**Total moment**: 0.00 μB/f.u.
**SG**: No. 123
**E_tot**: -3.45 eV per atom